(1)
A geometry-optimized TiFeSiOs structure. Source: the Alexandria database, functional PBE-GGA.

- Final energy: -8.880 eV per atom

```
TiFeSiOs
1.0
4.166 0.000 0.000
2.083 3.608 0.000
2.083 1.203 3.402
Si Os Fe Ti
1 1 1 1
Cartesian
6.249 3.608 2.551 Si
4.166 2.405 1.701 Os
0.000 0.000 0.000 Fe
2.083 1.203 0.850 Ti
```

***

(2)
A geometry-optimized UFeSi2Os2 structure. Source: the Alexandria database, functional PBE-GGA.

- Final energy: -8.679 eV per atom
- DOS(E_F): 1.770 states/eV per atom

```
UFeSi2Os2
1.0
-2.696 -0.560 -3.434
-3.278 -1.051 2.744
-1.343 4.868 0.260
U Fe Si Os
1 1 2 2
Cartesian
-0.671 2.434 0.130 U
0.000 0.000 0.000 Fe
-1.348 -0.280 -1.717 Si
-1.639 -0.525 1.372 Si
-3.981 2.801 -0.152 Os
-3.335 0.457 -0.278 Os
```

***

no.,formation energy from raw total energies (eV per atom)
1,-0.627
2,0.164